(1)
The following is a DFT calculation (PBE-GGA) of a relaxed structure of CaFeHg2Os.

Cell and atoms, written as extended XYZ:
```
5
Lattice="5.254 0.000 0.000 0.000 5.254 0.000 0.000 0.000 4.619" Properties=species:S:1:pos:R:3 pbc="T T T"
Ca 0.000 0.000 0.000
Fe 2.627 2.627 0.000
Hg 0.000 2.627 2.310
Hg 2.627 0.000 2.310
Os 2.627 2.627 2.310
```

energy of formation: 0.55 eV/atom
N(E_F): 0.971 states/eV per atom

=====

(2)
The following is a DFT calculation (PBE-GGA) of a relaxed structure of CaFe2HgRu.

Cell and atoms, written as extended XYZ:
```
5
Lattice="4.671 0.000 0.000 0.000 4.671 0.000 0.000 0.000 5.231" Properties=species:S:1:pos:R:3 pbc="T T T"
Ca 0.000 0.000 0.000
Fe 0.000 2.336 2.616
Fe 2.336 0.000 2.616
Hg 2.336 2.336 0.000
Ru 2.336 2.336 2.616
```

energy of formation: 0.66 eV/atom
N(E_F): 1.385 states/eV per atom

=====

(3)
The following is a DFT calculation (PBE-GGA) of a relaxed structure of Ca2TaFeHg.

Cell and atoms, written as extended XYZ:
```
5
Lattice="5.509 0.000 0.000 0.000 5.509 0.000 0.000 0.000 5.202" Properties=species:S:1:pos:R:3 pbc="T T T"
Ca 0.000 2.755 0.000
Ca 2.755 0.000 0.000
Ta 0.000 0.000 2.601
Fe 2.755 2.755 2.601
Hg 0.000 0.000 0.000
```

energy of formation: 1.29 eV/atom
N(E_F): 1.382 states/eV per atom